1.
Here is CuRuCSe2 after structural relaxation from Alexandria. Energies are from PBE-GGA.

```
CuRuCSe2
1.0
4.867 0.000 0.000
0.000 4.867 0.000
0.000 0.000 3.473
Cu Ru C Se
1 1 1 2
Direct
0.000 0.000 0.000
0.500 0.500 0.500
0.000 0.000 0.500
0.000 0.500 0.000
0.500 0.000 0.000
```

## Properties
Formation energy without anion corrections: 1376.8 meV per atom
Symmetry: P4/mmm, No. 123
Total magnetization: 0.001 μB/f.u.

2.
Here is Ti2CuRuC after structural relaxation from Alexandria. Energies are from PBE-GGA.

```
Ti2CuRuC
1.0
4.675 0.000 0.000
0.000 4.675 0.000
0.000 0.000 3.412
Ti Cu Ru C
2 1 1 1
Direct
0.000 0.500 0.000
0.500 0.000 0.000
0.000 0.000 0.000
0.500 0.500 0.500
0.000 0.000 0.500
```

## Properties
Symmetry: P4/mmm, No. 123
Total magnetization: 0.001 μB/f.u.
Calculated formation energy: 0.95 eV/atom